{
  "formula": "TaAsOF2",
  "functional": "PBE",
  "state": "relaxed",
  "e_form_raw_mev_per_atom": -1356,
  "final_energy_ry_per_atom": -0.470,
  "lattice_angstrom": [[4.290, 0.000, 0.000], [0.000, 4.290, 0.000], [0.000, 0.000, 3.932]],
  "species": ["Ta", "As", "O", "F", "F"],
  "fractional_positions": [[0.000, 0.000, 0.000], [0.500, 0.500, 0.500], [0.000, 0.000, 0.500], [0.000, 0.500, 0.000], [0.500, 0.000, 0.000]]
}

=====

{
  "formula": "Rb3PmPa2O9",
  "functional": "PBE",
  "state": "relaxed",
  "e_form_raw_mev_per_atom": -2711,
  "final_energy_ry_per_atom": -0.548,
  "lattice_angstrom": [[6.316, 0.000, 0.000], [-3.158, 5.470, 0.000], [0.000, 0.000, 7.717]],
  "species": ["Rb", "Rb", "Rb", "Pm", "Pa", "Pa", "O", "O", "O", "O", "O", "O", "O", "O", "O"],
  "fractional_positions": [[0.000, 0.000, 0.000], [0.333, 0.667, 0.664], [0.667, 0.333, 0.336], [0.000, 0.000, 0.500], [0.333, 0.667, 0.166], [0.667, 0.333, 0.834], [0.000, 0.500, 0.000], [0.175, 0.350, 0.323], [0.175, 0.825, 0.323], [0.350, 0.175, 0.677], [0.500, 0.000, 0.000], [0.500, 0.500, 0.000], [0.650, 0.825, 0.323], [0.825, 0.175, 0.677], [0.825, 0.650, 0.677]]
}

=====

{
  "formula": "TlPIrO2",
  "functional": "PBE",
  "state": "relaxed",
  "e_form_raw_mev_per_atom": 1088,
  "final_energy_ry_per_atom": -0.310,
  "lattice_angstrom": [[3.886, 0.000, 0.000], [0.000, 3.886, 0.000], [0.000, 0.000, 6.610]],
  "species": ["Tl", "P", "Ir", "O", "O"],
  "fractional_positions": [[0.000, 0.000, 0.000], [0.000, 0.000, 0.500], [0.500, 0.500, 0.500], [0.000, 0.500, 0.000], [0.500, 0.000, 0.000]]
}

=====

{
  "formula": "NbAsPS2",
  "functional": "PBE",
  "state": "relaxed",
  "e_form_raw_mev_per_atom": 312,
  "final_energy_ry_per_atom": -0.394,
  "lattice_angstrom": [[4.684, 0.000, 0.000], [0.000, 4.684, 0.000], [0.000, 0.000, 5.148]],
  "species": ["Nb", "As", "P", "S", "S"],
  "fractional_positions": [[0.000, 0.000, 0.000], [0.500, 0.500, 0.500], [0.000, 0.000, 0.500], [0.000, 0.500, 0.000], [0.500, 0.000, 0.000]]
}

=====

{
  "formula": "Te2IO3",
  "functional": "PBE",
  "state": "relaxed",
  "e_form_raw_mev_per_atom": -570,
  "final_energy_ry_per_atom": -0.320,
  "lattice_angstrom": [[7.872, -2.211, 0.000], [7.872, 2.211, 0.000], [-3.797, 0.000, 7.081]],
  "species": ["Te", "Te", "Te", "Te", "I", "I", "O", "O", "O", "O", "O", "O"],
  "fractional_positions": [[0.040, 0.040, 0.351], [0.279, 0.279, 0.340], [0.721, 0.721, 0.660], [0.960, 0.960, 0.649], [0.369, 0.369, 0.000], [0.631, 0.631, 0.000], [0.086, 0.086, 0.625], [0.197, 0.197, 0.462], [0.410, 0.410, 0.575], [0.590, 0.590, 0.425], [0.803, 0.803, 0.538], [0.914, 0.914, 0.375]]
}

=====

{
  "formula": "AcEuPd",
  "functional": "PBE",
  "state": "relaxed",
  "e_form_ev_per_atom": -0.4724,
  "final_energy_ry_per_atom": -0.514,
  "lattice_angstrom": [[4.332, 0.000, 0.000], [-2.166, 3.752, 0.000], [0.000, 0.000, 6.841]],
  "species": ["Ac", "Eu", "Pd"],
  "fractional_positions": [[0.000, 0.000, 0.000], [0.333, 0.667, 0.490], [0.667, 0.333, 0.241]]
}